Record 1
VASP calculation (PBE-GGA) on a relaxed TcSb2Pb crystal.

abc: 3.417 3.417 8.074
angles: 90.00 90.00 90.00
Space group P4mm (No. 99)
Unique sites:
Tc 0.000 0.000 0.000 x1
Sb 0.000 0.000 0.579 x1
Sb 0.500 0.500 0.843 x1
Pb 0.500 0.500 0.247 x1

Computed properties:
**Theoretical density**: 9.7 g/cm³
**DFT total energy**: -21.30 eV per cell
**Total magnetization**: 0.0 μB/f.u.
**Energy relative to the elements, uncorrected**: 0.2550 eV per atom

=====

Record 2
VASP calculation (PBE-GGA) on a relaxed BaLa2Co crystal.

abc: 7.782 7.782 7.782
angles: 90.00 90.00 90.00
Space group F-43m (No. 216)
Unique sites:
Ba 0.000 0.000 0.000 x4
La 0.000 0.000 0.500 x4
La 0.250 0.250 0.750 x4
Co 0.250 0.250 0.250 x4

Computed properties:
**Theoretical density**: 6.7 g/cm³
**DFT total energy**: -66.24 eV per cell
**Total magnetization**: 0.7 μB/f.u.

=====

Record 3
VASP calculation (PBE-GGA) on a relaxed AlAs2W crystal.

abc: 5.808 5.808 11.263
angles: 90.00 90.00 90.00
Space group I-42d (No. 122)
Unique sites:
Al 0.000 0.000 0.000 x4
As 0.246 0.250 0.625 x8
W 0.000 0.000 0.500 x4

Computed properties:
**Theoretical density**: 6.3 g/cm³
**DFT total energy**: -97.53 eV per cell
**Total magnetization**: 1.5 μB/f.u.